Record 1
## MnPb2Br (PBE)

Data for crystalline MnPb2Br at its relaxed geometry.

Unit cell a=3.4231 b=3.4231 c=9.4656 alpha=90.00 beta=90.00 gamma=90.00
Site moments in Bohr magnetons follow the coordinates.
Element x y z (fractional)
1 Pb 0.0000 0.0000 0.9556  -0.03
2 Pb 0.5000 0.5000 0.2231  0.04
3 Mn 0.5000 0.5000 0.7381  4.02
4 Br 0.0000 0.0000 0.5833  0.08

raw formation energy = 0.051 eV/atom
distance to the lowest polymorph of the same formula = 22 meV/atom

Record 2
## TlZnB (PBE)

Data for crystalline TlZnB at its relaxed geometry.

Unit cell a=4.0551 b=4.0551 c=7.7641 alpha=90.00 beta=90.00 gamma=120.00
Element x y z (fractional)
1 Zn 0.0000 0.0000 0.0000
2 Zn 0.0000 0.0000 0.5000
3 Tl 0.6667 0.3333 0.2500
4 Tl 0.3333 0.6667 0.7500
5 B 0.6667 0.3333 0.7500
6 B 0.3333 0.6667 0.2500

energy of formation = 3.5 eV per formula unit

Record 3
## HfCdPd (PBE)

Data for crystalline HfCdPd at its relaxed geometry.

Unit cell a=3.4713 b=3.4713 c=10.9108 alpha=71.43 beta=71.43 gamma=89.99
Element x y z (fractional)
1 Cd 0.8387 0.8387 0.4112
2 Cd 0.1613 0.1613 0.5888
3 Hf 0.5413 0.5413 0.2086
4 Hf 0.4587 0.4587 0.7914
5 Pd 0.8329 0.8329 0.9171
6 Pd 0.1671 0.1671 0.0829

energy of formation = -1.1 eV per formula unit

Record 4
## Ta2RhBr (PBE)

Data for crystalline Ta2RhBr at its relaxed geometry.

Unit cell a=3.0086 b=3.0086 c=7.3506 alpha=90.00 beta=90.00 gamma=89.99
Element x y z (fractional)
1 Ta 0.0000 0.0000 0.5013
2 Ta 0.0000 0.0000 0.9987
3 Br 0.5000 0.5000 0.2500
4 Rh 0.5000 0.5000 0.7500

raw formation energy = 0.111 eV/atom
distance to the lowest polymorph of the same formula = 95 meV/atom

Record 5
## LiPm2CdHg4 (PBE)

Data for crystalline LiPm2CdHg4 at its relaxed geometry.

Unit cell a=5.1351 b=5.1351 c=8.8968 alpha=73.23 beta=73.23 gamma=60.00
Element x y z (fractional)
1 Pm 0.2527 0.2527 0.2418
2 Pm 0.7473 0.7473 0.7582
3 Cd 0.0000 0.0000 0.0000
4 Hg 0.8706 0.8706 0.3881
5 Hg 0.6198 0.6198 0.1405
6 Hg 0.1294 0.1294 0.6119
7 Hg 0.3802 0.3802 0.8595
8 Li 0.5000 0.5000 0.5000

energy of formation = -3.6 eV per formula unit

Record 6
## YCoCu (PBE)

Data for crystalline YCoCu at its relaxed geometry.

Unit cell a=4.9898 b=5.4305 c=4.6021 alpha=90.00 beta=122.83 gamma=90.00
Site moments in Bohr magnetons follow the coordinates.
Element x y z (fractional)
1 Y 0.6540 0.2500 0.3080  -0.15
2 Y 0.3460 0.7500 0.6920  -0.15
3 Co 0.0000 0.0000 0.0000  1.22
4 Co 0.0000 0.5000 0.0000  1.22
5 Cu 0.7108 0.7500 0.4216  -0.01
6 Cu 0.2892 0.2500 0.5784  -0.01

energy of formation = 0.1 eV per formula unit

Record 7
## TlInI2O (PBE)

Data for crystalline TlInI2O at its relaxed geometry.

Unit cell a=6.2198 b=6.2198 c=4.0128 alpha=90.00 beta=90.00 gamma=90.00
Element x y z (fractional)
1 In 0.0000 0.0000 0.0000
2 I 0.5000 0.0000 0.0000
3 I 0.0000 0.5000 0.0000
4 Tl 0.5000 0.5000 0.5000
5 O 0.0000 0.0000 0.5000

raw formation energy = -0.632 eV/atom
distance to the lowest polymorph of the same formula = 0 meV/atom

Record 8
## CaEuSnHg (PBE)

Data for crystalline CaEuSnHg at its relaxed geometry.

Unit cell a=5.4865 b=5.4865 c=5.4865 alpha=60.00 beta=60.00 gamma=60.00
Site moments in Bohr magnetons follow the coordinates.
Element x y z (fractional)
1 Sn 0.2500 0.2500 0.2500  -0.05
2 Hg 0.7500 0.7500 0.7500  0.01
3 Ca 0.5000 0.5000 0.5000  0.00
4 Eu 0.0000 0.0000 0.0000  6.85

energy of formation = -2.7 eV per formula unit